No. 1
A plane-wave DFT calculation with PBE was carried out for KSrLiPb after structural relaxation.

Cell lengths 8.0031, 8.0031, 8.0031 Å; angles 90.00, 90.00, 90.00 degrees
Closest atoms and distances in Å follow each position.
Space group F-43m (No. 216)
Inequivalent atoms, fractional coordinates:
K: 0.0000 0.0000 0.0000  4 Li 3.47, 4 Sr 3.47
Sr: 0.2500 0.2500 0.7500  4 Pb 3.47, 4 K 3.47
Li: 0.2500 0.2500 0.2500  4 Pb 3.47, 4 K 3.47
Pb: 0.0000 0.0000 0.5000  4 Sr 3.47, 4 Li 3.47

Calculated values
For the electronic total energy, the calculation gives -2.337 eV per atom. As for the crystal system: cubic. Its energy relative to the elements is -236 meV/atom. As for the total magnetic moment: 0.00 μB/f.u.



No. 2
A plane-wave DFT calculation with PBE was carried out for KLiTe2Pb after structural relaxation.

Cell lengths 16.9137, 4.7763, 9.8447 Å; angles 90.00, 91.94, 90.00 degrees
Closest atoms and distances in Å follow each position.
Space group C2/m (No. 12)
Inequivalent atoms, fractional coordinates:
K: 0.1921 0.0000 0.1881  5 Te 3.50-3.62, 3 Li 3.72-3.88
Li: 0.1922 0.0000 0.5655  4 Te 2.81-2.87
Te: 0.1384 0.5000 0.4398  3 Li 2.83-2.87, 1 Pb 3.04
Te: 0.1481 0.0000 0.8386  1 Li 2.81, 2 Pb 3.12
Pb: 0.0544 0.5000 0.7085  3 Te 3.04-3.12

Calculated values
For the electronic total energy, the calculation gives -3.360 eV per atom. As for the energy above the most stable polymorph in this dataset: 0 meV per atom. As for the crystal system: monoclinic. The energy relative to the elements, uncorrected is -0.76 eV per atom. Its density of states at the Fermi level is 0.000 states/eV/f.u. As for the total magnetic moment: 0.00 μB/f.u.



No. 3
A plane-wave DFT calculation with PBE was carried out for KLiTe2Pb after structural relaxation.

Cell lengths 5.5423, 5.5423, 5.0856 Å; angles 90.00, 90.00, 90.00 degrees
Closest atoms and distances in Å follow each position.
Space group P4/mmm (No. 123)
Inequivalent atoms, fractional coordinates:
K: 0.0000 0.0000 0.0000  8 Te 3.76, 4 Pb 3.92
Li: 0.5000 0.5000 0.5000  2 Pb 2.54, 4 Te 2.77
Te: 0.0000 0.5000 0.5000  2 Li 2.77
Pb: 0.5000 0.5000 0.0000  2 Li 2.54

Calculated values
For the electronic total energy, the calculation gives -2.933 eV per atom. As for the energy above the most stable polymorph in this dataset: 427 meV per atom. As for the crystal system: tetragonal. The energy relative to the elements, uncorrected is -0.33 eV per atom. Its density of states at the Fermi level is 2.701 states/eV/f.u. As for the total magnetic moment: 0.00 μB/f.u.